[1]
{"formula": "BaSm2Rh9", "functional": "PBE-GGA", "state": "relaxed", "formation_enthalpy_0k_ev_per_atom": -0.361, "crystal_system": "trigonal", "lattice_angstrom": [[5.163, 0.000, 1.537], [2.353, 4.596, 1.537], [0.032, 0.019, 9.336]], "species": ["Ba", "Rh", "Rh", "Rh", "Rh", "Rh", "Rh", "Rh", "Rh", "Rh", "Sm", "Sm"], "fractional_positions": [[0.000, 0.000, 0.000], [0.916, 0.416, 0.251], [0.667, 0.667, 0.999], [0.084, 0.584, 0.749], [0.416, 0.416, 0.251], [0.333, 0.333, 0.001], [0.500, 0.500, 0.500], [0.416, 0.916, 0.251], [0.584, 0.084, 0.749], [0.584, 0.584, 0.749], [0.139, 0.139, 0.584], [0.861, 0.861, 0.416]]}

***

[2]
{"formula": "BeOsRu", "functional": "PBE-GGA", "state": "relaxed", "formation_enthalpy_0k_ev_per_atom": 0.116, "crystal_system": "trigonal", "lattice_angstrom": [[2.701, 0.000, 0.000], [-1.351, 2.339, 0.000], [0.000, 0.000, 6.023]], "species": ["Be", "Os", "Ru"], "fractional_positions": [[0.000, 0.000, 0.999], [0.667, 0.333, 0.321], [0.333, 0.667, 0.679]]}

***

[3]
{"formula": "ThB2Rh6", "functional": "PBE-GGA", "state": "relaxed", "formation_enthalpy_0k_ev_per_atom": -0.230, "crystal_system": "cubic", "lattice_angstrom": [[-0.632, -4.424, -5.938], [5.963, -1.485, -4.179], [3.004, -6.797, 0.094]], "species": ["Rh", "Rh", "Rh", "Rh", "Rh", "Rh", "Rh", "Rh", "Rh", "Rh", "Rh", "Rh", "Th", "Th", "B", "B", "B", "B"], "fractional_positions": [[0.786, 0.214, 0.214], [0.464, 0.036, 0.036], [0.214, 0.786, 0.786], [0.214, 0.214, 0.786], [0.464, 0.036, 0.464], [0.786, 0.214, 0.786], [0.786, 0.786, 0.214], [0.036, 0.036, 0.464], [0.036, 0.464, 0.036], [0.464, 0.464, 0.036], [0.214, 0.786, 0.214], [0.036, 0.464, 0.464], [0.750, 0.750, 0.750], [0.500, 0.500, 0.500], [0.125, 0.125, 0.625], [0.125, 0.125, 0.125], [0.125, 0.625, 0.125], [0.625, 0.125, 0.125]]}

***

[4]
{"formula": "BeV2OsPb", "functional": "PBE-GGA", "state": "relaxed", "formation_enthalpy_0k_ev_per_atom": 1.476, "crystal_system": "tetragonal", "lattice_angstrom": [[-0.307, 4.420, -1.308], [-5.015, -0.656, -1.040], [-1.056, 1.209, 4.332]], "species": ["V", "V", "Be", "Pb", "Os"], "fractional_positions": [[0.500, 0.000, 0.000], [0.000, 0.000, 0.500], [0.500, 0.500, 0.500], [0.000, 0.500, 0.000], [0.000, 0.000, 0.000]]}

***

[5]
{"formula": "AlPd8Pt2", "functional": "PBE-GGA", "state": "relaxed", "formation_enthalpy_0k_ev_per_atom": 0.066, "crystal_system": "monoclinic", "relative_energy_mev_per_atom": 323, "lattice_angstrom": [[4.692, 0.559, 0.465], [0.760, 6.513, -0.258], [0.760, 0.937, 6.450]], "species": ["Pd", "Pd", "Pd", "Pd", "Pd", "Pd", "Pd", "Pd", "Al", "Pt", "Pt"], "fractional_positions": [[0.108, 0.729, 0.729], [0.703, 0.577, 0.577], [0.892, 0.271, 0.271], [0.297, 0.423, 0.423], [0.802, 0.678, 0.159], [0.802, 0.159, 0.678], [0.198, 0.841, 0.322], [0.198, 0.322, 0.841], [0.000, 0.000, 0.000], [0.481, 0.140, 0.140], [0.519, 0.860, 0.860]]}

***

[6]
{"formula": "TaNb2W8", "functional": "PBE-GGA", "state": "relaxed", "formation_enthalpy_0k_ev_per_atom": -0.070, "crystal_system": "monoclinic", "lattice_angstrom": [[-1.649, 2.712, -0.504], [-5.339, -2.478, 4.143], [0.997, 3.873, 7.326]], "species": ["W", "W", "W", "W", "W", "W", "W", "W", "Nb", "Nb", "Ta"], "fractional_positions": [[0.636, 0.181, 0.697], [0.454, 0.277, 0.061], [0.819, 0.090, 0.331], [0.180, 0.911, 0.608], [0.363, 0.820, 0.242], [0.089, 0.452, 0.791], [0.910, 0.548, 0.148], [0.545, 0.724, 0.878], [0.726, 0.640, 0.516], [0.273, 0.361, 0.424], [0.000, 0.000, 0.970]]}

***

Copy entry 4 word for word.
{"formula": "BeV2OsPb", "functional": "PBE-GGA", "state": "relaxed", "formation_enthalpy_0k_ev_per_atom": 1.476, "crystal_system": "tetragonal", "lattice_angstrom": [[-0.307, 4.420, -1.308], [-5.015, -0.656, -1.040], [-1.056, 1.209, 4.332]], "species": ["V", "V", "Be", "Pb", "Os"], "fractional_positions": [[0.500, 0.000, 0.000], [0.000, 0.000, 0.500], [0.500, 0.500, 0.500], [0.000, 0.500, 0.000], [0.000, 0.000, 0.000]]}

***

- Number 6 is which compound?
  TaNb2W8